Entry from the Alexandria database: crystalline Sm2MnIn3Te6 at its relaxed geometry (PBE).

## Properties
The uncorrected formation energy is -65.9 kJ/mol of atoms. The calculation puts the uncorrected energy at -4.49 eV/atom.

Cell: 7.6027 13.1809 8.2185 Å, 90.00 108.30 90.00°
Space group C2/m (No. 12)
One atom of each set of equivalent atoms:
Sm (0.0000, 0.1639, 0.0000)
Mn (0.0000, 0.5000, 0.0000)
In (0.0000, 0.0000, 0.5000)
In (0.0000, 0.3215, 0.5000)
Te (0.2284, 0.3433, 0.2188)
Te (0.2399, 0.5000, 0.7682)